# 1
! CeNp2Tl3Se6, optimized geometry, DFT GGA-PBE; values from VASP
! final energy	-6.03	eV/atom
! space-group type	No. 12
&SYSTEM
  ibrav = 0, nat = 12, ntyp = 4
/
ATOMIC_SPECIES
Np 237.00 Np.upf
Tl 204.38 Tl.upf
Se 78.96 Se.upf
Ce 140.12 Ce.upf
CELL_PARAMETERS angstrom
7.379 -0.001 0.001
-3.688 6.391 0.001
-1.230 -2.130 7.768
ATOMIC_POSITIONS crystal
Np 0.667 0.333 0.000
Tl 0.500 0.500 0.500
Tl 0.833 0.167 0.500
Tl 0.167 0.833 0.500
Se 0.592 0.932 0.795
Ce 0.000 0.000 0.000
Se 0.729 0.729 0.204
Np 0.333 0.667 0.000
Se 0.932 0.592 0.795
Se 0.408 0.068 0.205
Se 0.068 0.408 0.205
Se 0.271 0.271 0.796

# 2
! AcAl2Br8, optimized geometry, DFT GGA-PBE; values from VASP
! final energy	-3.52	eV/atom
! space-group type	No. 12
&SYSTEM
  ibrav = 0, nat = 11, ntyp = 3
/
ATOMIC_SPECIES
Br 79.90 Br.upf
Al 26.98 Al.upf
Ac 227.00 Ac.upf
CELL_PARAMETERS angstrom
-1.091 6.352 3.229
-6.576 -2.191 5.095
2.248 -2.161 8.017
ATOMIC_POSITIONS crystal
Br 0.788 0.650 0.650
Al 0.343 0.193 0.193
Br 0.212 0.350 0.350
Br 0.761 0.697 0.089
Br 0.239 0.303 0.911
Br 0.316 0.821 0.821
Ac 0.000 0.000 0.000
Br 0.761 0.089 0.697
Br 0.684 0.179 0.179
Al 0.657 0.807 0.807
Br 0.239 0.911 0.303

# 3
! TaMnFe, optimized geometry, DFT GGA-PBE; values from VASP
! offset from the most stable computed form	0.249	eV per atom
! formation energy from the elements	0.052	eV/atom
! space-group type	No. 156
&SYSTEM
  ibrav = 0, nat = 3, ntyp = 3
/
ATOMIC_SPECIES
Ta 180.95 Ta.upf
Mn 54.94 Mn.upf
Fe 55.84 Fe.upf
CELL_PARAMETERS angstrom
4.178 0.000 0.000
-2.089 3.618 0.000
0.000 0.000 2.732
ATOMIC_POSITIONS crystal
Ta 0.333 0.667 0.672
Mn 0.667 0.333 0.328
Fe 0.000 0.000 0.001

# 4
! CaY3N, optimized geometry, DFT GGA-PBE; values from VASP
! offset from the most stable computed form	0.000	eV per atom
! space-group type	No. 221
&SYSTEM
  ibrav = 0, nat = 5, ntyp = 3
/
ATOMIC_SPECIES
N 14.01 N.upf
Ca 40.08 Ca.upf
Y 88.91 Y.upf
CELL_PARAMETERS angstrom
5.028 0.000 0.000
0.000 5.028 0.000
0.000 0.000 5.028
ATOMIC_POSITIONS crystal
N 0.000 0.000 0.000
Ca 0.500 0.500 0.500
Y 0.000 0.000 0.500
Y 0.000 0.500 0.000
Y 0.500 0.000 0.000

# 5
! BaYTc2Mo, optimized geometry, DFT GGA-PBE; values from VASP
! formation energy from the elements	0.929	eV/atom
! space-group type	No. 123
&SYSTEM
  ibrav = 0, nat = 5, ntyp = 4
/
ATOMIC_SPECIES
Tc 98.00 Tc.upf
Mo 95.94 Mo.upf
Y 88.91 Y.upf
Ba 137.33 Ba.upf
CELL_PARAMETERS angstrom
-2.302 1.068 -4.195
-1.400 -5.121 -0.535
-4.133 0.870 2.490
ATOMIC_POSITIONS crystal
Tc 0.000 0.000 0.500
Mo 0.000 0.000 0.000
Tc 0.500 0.000 0.000
Y 0.000 0.500 0.000
Ba 0.500 0.500 0.500

# 6
! K2FeTe, optimized geometry, DFT GGA-PBE; values from VASP
! final energy	-3.23	eV/atom
! space-group type	No. 65
&SYSTEM
  ibrav = 0, nat = 4, ntyp = 3
/
ATOMIC_SPECIES
K 39.10 K.upf
Fe 55.84 Fe.upf
Te 127.60 Te.upf
CELL_PARAMETERS angstrom
-0.880 1.400 -5.122
1.118 -5.252 0.379
-4.672 -0.955 0.542
ATOMIC_POSITIONS crystal
K 0.500 0.500 0.000
Fe 0.000 0.500 0.500
K 0.000 0.000 0.000
Te 0.500 0.000 0.500

# 7
! LaIn2Re, optimized geometry, DFT GGA-PBE; values from VASP
! offset from the most stable computed form	0.232	eV per atom
! formation energy from the elements	0.412	eV/atom
! space-group type	No. 119
&SYSTEM
  ibrav = 0, nat = 4, ntyp = 3
/
ATOMIC_SPECIES
In 114.82 In.upf
Re 186.21 Re.upf
La 138.91 La.upf
CELL_PARAMETERS angstrom
5.419 -0.028 0.000
1.467 5.217 0.000
-3.443 -2.595 3.284
ATOMIC_POSITIONS crystal
In 0.250 0.750 0.500
Re 0.750 0.250 0.500
In 0.000 0.000 0.000
La 0.500 0.500 0.000

# 8
! MgGe2Os, optimized geometry, DFT GGA-PBE; values from VASP
! formation energy from the elements	-0.015	eV/atom
! space-group type	No. 160
&SYSTEM
  ibrav = 0, nat = 4, ntyp = 3
/
ATOMIC_SPECIES
Os 190.23 Os.upf
Mg 24.30 Mg.upf
Ge 72.64 Ge.upf
CELL_PARAMETERS angstrom
4.170 0.000 0.000
2.085 3.611 0.000
2.085 1.204 4.734
ATOMIC_POSITIONS crystal
Os 0.680 0.680 0.959
Mg 0.488 0.488 0.536
Ge 0.062 0.062 0.815
Ge 0.270 0.270 0.190

# 9
! HfOs4, optimized geometry, DFT GGA-PBE; values from VASP
! formation energy from the elements	2.864	eV/atom
! space-group type	No. 221
&SYSTEM
  ibrav = 0, nat = 5, ntyp = 2
/
ATOMIC_SPECIES
Os 190.23 Os.upf
Hf 178.49 Hf.upf
CELL_PARAMETERS angstrom
-2.731 -3.785 0.140
3.252 -2.432 -2.305
1.942 -1.251 4.059
ATOMIC_POSITIONS crystal
Os 0.500 0.500 0.000
Os 0.000 0.000 0.000
Os 0.500 0.000 0.500
Hf 0.500 0.500 0.500
Os 0.000 0.500 0.500

# 10
! Hf2Hg2Pb, optimized geometry, DFT GGA-PBE; values from VASP
! offset from the most stable computed form	0.023	eV per atom
! formation energy from the elements	0.183	eV/atom
! space-group type	No. 127
&SYSTEM
  ibrav = 0, nat = 10, ntyp = 3
/
ATOMIC_SPECIES
Hg 200.59 Hg.upf
Hf 178.49 Hf.upf
Pb 207.20 Pb.upf
CELL_PARAMETERS angstrom
8.444 0.000 0.000
0.000 8.444 0.000
0.000 0.000 3.300
ATOMIC_POSITIONS crystal
Hg 0.129 0.371 0.000
Hf 0.832 0.332 0.500
Hg 0.371 0.871 0.000
Pb 0.500 0.500 0.000
Hg 0.629 0.129 0.000
Hf 0.168 0.668 0.500
Hf 0.332 0.168 0.500
Pb 0.000 0.000 0.000
Hg 0.871 0.629 0.000
Hf 0.668 0.832 0.500

# 11
! Hg4PIr, optimized geometry, DFT GGA-PBE; values from VASP
! formation energy from the elements	0.947	eV/atom
! space-group type	No. 216
&SYSTEM
  ibrav = 0, nat = 6, ntyp = 3
/
ATOMIC_SPECIES
Hg 200.59 Hg.upf
Ir 192.22 Ir.upf
P 30.97 P.upf
CELL_PARAMETERS angstrom
0.000 3.980 3.980
3.980 0.000 3.980
3.980 3.980 0.000
ATOMIC_POSITIONS crystal
Hg 0.375 0.875 0.375
Ir 0.750 0.750 0.750
P 0.000 0.000 0.000
Hg 0.375 0.375 0.875
Hg 0.375 0.375 0.375
Hg 0.875 0.375 0.375

# 12
! ScCoSeBr2, optimized geometry, DFT GGA-PBE; values from VASP
! offset from the most stable computed form	0.000	eV per atom
! space-group type	No. 123
&SYSTEM
  ibrav = 0, nat = 5, ntyp = 4
/
ATOMIC_SPECIES
Sc 44.96 Sc.upf
Co 58.93 Co.upf
Se 78.96 Se.upf
Br 79.90 Br.upf
CELL_PARAMETERS angstrom
5.218 0.000 0.000
0.000 5.218 0.000
0.000 0.000 5.272
ATOMIC_POSITIONS crystal
Sc 0.000 0.000 0.000
Co 0.500 0.500 0.500
Se 0.000 0.000 0.500
Br 0.000 0.500 0.000
Br 0.500 0.000 0.000

# 13
! CsPrAuSe2, optimized geometry, DFT GGA-PBE; values from VASP
! final energy	-4.28	eV/atom
! space-group type	No. 13
&SYSTEM
  ibrav = 0, nat = 10, ntyp = 4
/
ATOMIC_SPECIES
Se 78.96 Se.upf
Cs 132.91 Cs.upf
Au 196.97 Au.upf
Pr 140.91 Pr.upf
CELL_PARAMETERS angstrom
5.123 0.000 0.000
0.000 8.482 0.581
0.000 -1.976 8.161
ATOMIC_POSITIONS crystal
Se 0.668 0.229 0.537
Cs 0.159 0.500 0.750
Au 0.000 0.000 0.000
Se 0.668 0.771 0.963
Au 0.000 0.000 0.500
Se 0.332 0.229 0.037
Pr 0.507 0.000 0.750
Cs 0.841 0.500 0.250
Pr 0.493 0.000 0.250
Se 0.332 0.771 0.463

# 14
! KGe3Pd, optimized geometry, DFT GGA-PBE; values from VASP
! offset from the most stable computed form	0.438	eV per atom
! formation energy from the elements	0.212	eV/atom
! space-group type	No. 221
&SYSTEM
  ibrav = 0, nat = 5, ntyp = 3
/
ATOMIC_SPECIES
K 39.10 K.upf
Ge 72.64 Ge.upf
Pd 106.42 Pd.upf
CELL_PARAMETERS angstrom
5.025 0.000 0.000
0.000 5.025 0.000
0.000 0.000 5.025
ATOMIC_POSITIONS crystal
K 0.500 0.500 0.500
Ge 0.500 0.000 0.000
Pd 0.000 0.000 0.000
Ge 0.000 0.500 0.000
Ge 0.000 0.000 0.500

# 15
! Ca2PmNd, optimized geometry, DFT GGA-PBE; values from VASP
! offset from the most stable computed form	0.054	eV per atom
! formation energy from the elements	0.092	eV/atom
! space-group type	No. 160
&SYSTEM
  ibrav = 0, nat = 4, ntyp = 3
/
ATOMIC_SPECIES
Nd 144.24 Nd.upf
Pm 145.00 Pm.upf
Ca 40.08 Ca.upf
CELL_PARAMETERS angstrom
3.717 0.000 0.000
1.858 3.219 0.000
1.858 1.073 12.427
ATOMIC_POSITIONS crystal
Nd 0.500 0.500 0.499
Pm 0.666 0.666 0.001
Ca 0.250 0.250 0.250
Ca 0.083 0.083 0.750

# 16
! Ba8Zn6N, optimized geometry, DFT GGA-PBE; values from VASP
! final energy	-2.22	eV/atom
! space-group type	No. 148
&SYSTEM
  ibrav = 0, nat = 15, ntyp = 3
/
ATOMIC_SPECIES
Ba 137.33 Ba.upf
Zn 65.41 Zn.upf
N 14.01 N.upf
CELL_PARAMETERS angstrom
-4.483 -1.495 7.123
5.861 -0.533 6.200
-0.346 7.552 3.990
ATOMIC_POSITIONS crystal
Ba 0.905 0.133 0.695
Ba 0.695 0.905 0.133
Zn 0.509 0.352 0.967
Ba 0.370 0.370 0.370
Ba 0.095 0.867 0.305
Zn 0.491 0.648 0.033
Ba 0.867 0.305 0.095
Ba 0.305 0.095 0.867
Ba 0.630 0.630 0.630
Zn 0.648 0.033 0.491
N 0.000 0.000 0.000
Zn 0.352 0.967 0.509
Zn 0.967 0.509 0.352
Ba 0.133 0.695 0.905
Zn 0.033 0.491 0.648

# 17
! CsTlP2S, optimized geometry, DFT GGA-PBE; values from VASP
! offset from the most stable computed form	0.816	eV per atom
! space-group type	No. 123
&SYSTEM
  ibrav = 0, nat = 5, ntyp = 4
/
ATOMIC_SPECIES
P 30.97 P.upf
Tl 204.38 Tl.upf
S 32.06 S.upf
Cs 132.91 Cs.upf
CELL_PARAMETERS angstrom
5.926 0.000 0.000
0.000 5.926 0.000
0.000 0.000 5.845
ATOMIC_POSITIONS crystal
P 0.000 0.500 0.000
Tl 0.500 0.500 0.500
P 0.500 0.000 0.000
S 0.000 0.000 0.500
Cs 0.000 0.000 0.000

# 18
! ErTcN2, optimized geometry, DFT GGA-PBE; values from VASP
! offset from the most stable computed form	0.174	eV per atom
! space-group type	No. 166
&SYSTEM
  ibrav = 0, nat = 4, ntyp = 3
/
ATOMIC_SPECIES
Tc 98.00 Tc.upf
N 14.01 N.upf
Er 167.26 Er.upf
CELL_PARAMETERS angstrom
-3.062 -0.225 1.176
-2.405 -1.199 -1.894
-0.838 -5.100 1.440
ATOMIC_POSITIONS crystal
Tc 0.000 0.000 0.000
N 0.741 0.741 0.777
Er 0.500 0.500 0.500
N 0.259 0.259 0.223

# 19
! Sm8Dy2Tm3, optimized geometry, DFT GGA-PBE; values from VASP
! formation energy from the elements	0.212	eV/atom
! space-group type	No. 12
&SYSTEM
  ibrav = 0, nat = 13, ntyp = 3
/
ATOMIC_SPECIES
Tm 168.93 Tm.upf
Sm 150.36 Sm.upf
Dy 162.50 Dy.upf
CELL_PARAMETERS angstrom
5.599 0.000 0.778
0.000 7.675 0.000
-1.398 -3.837 10.026
ATOMIC_POSITIONS crystal
Tm 0.000 0.286 0.000
Sm 0.500 0.600 0.789
Sm 0.999 0.329 0.659
Sm 0.000 0.869 0.739
Sm 0.001 0.671 0.341
Sm 0.500 0.400 0.211
Sm 0.000 0.131 0.261
Sm 0.500 0.188 0.789
Sm 0.500 0.812 0.211
Dy 0.499 0.240 0.480
Tm 0.500 0.000 0.000
Tm 0.000 0.714 0.000
Dy 0.501 0.760 0.520

# 20
! NaUPaS6, optimized geometry, DFT GGA-PBE; values from VASP
! final energy	-6.40	eV/atom
! space-group type	No. 149
&SYSTEM
  ibrav = 0, nat = 9, ntyp = 4
/
ATOMIC_SPECIES
S 32.06 S.upf
Na 22.99 Na.upf
U 238.03 U.upf
Pa 231.04 Pa.upf
CELL_PARAMETERS angstrom
-2.920 -5.028 -1.630
2.732 0.380 -6.067
3.098 -3.369 4.845
ATOMIC_POSITIONS crystal
S 0.750 0.025 0.323
S 0.250 0.677 0.975
Na 0.500 0.667 0.333
S 0.250 0.025 0.703
S 0.250 0.297 0.323
S 0.750 0.677 0.703
U 0.500 0.000 0.000
S 0.750 0.297 0.975
Pa 0.000 0.333 0.667

# 21
! Dy12Al2Tl5, optimized geometry, DFT GGA-PBE; values from VASP
! formation energy from the elements	-0.129	eV/atom
! space-group type	No. 12
&SYSTEM
  ibrav = 0, nat = 19, ntyp = 3
/
ATOMIC_SPECIES
Dy 162.50 Dy.upf
Al 26.98 Al.upf
Tl 204.38 Tl.upf
CELL_PARAMETERS angstrom
-1.731 -6.882 0.804
9.189 1.459 0.551
0.366 0.966 9.053
ATOMIC_POSITIONS crystal
Dy 0.899 0.303 0.488
Dy 0.404 0.303 0.488
Dy 0.965 0.930 0.188
Dy 0.494 0.989 0.694
Al 0.327 0.000 0.000
Dy 0.035 0.070 0.812
Dy 0.402 0.316 0.070
Dy 0.596 0.697 0.512
Tl 0.773 0.547 0.248
Dy 0.506 0.011 0.306
Al 0.673 0.000 0.000
Dy 0.598 0.684 0.930
Tl 0.227 0.453 0.752
Dy 0.914 0.316 0.070
Tl 0.301 0.602 0.236
Tl 0.000 0.000 0.500
Dy 0.086 0.684 0.930
Tl 0.699 0.398 0.764
Dy 0.101 0.697 0.512

# 22
! CeHo2In, optimized geometry, DFT GGA-PBE; values from VASP
! offset from the most stable computed form	0.014	eV per atom
! formation energy from the elements	-0.200	eV/atom
! space-group type	No. 123
&SYSTEM
  ibrav = 0, nat = 4, ntyp = 3
/
ATOMIC_SPECIES
In 114.82 In.upf
Ho 164.93 Ho.upf
Ce 140.12 Ce.upf
CELL_PARAMETERS angstrom
-2.258 2.516 1.006
-2.264 -2.472 1.100
3.830 0.151 8.223
ATOMIC_POSITIONS crystal
In 0.500 0.500 0.000
Ho 0.000 0.000 0.233
Ho 0.000 0.000 0.767
Ce 0.500 0.500 0.500

# 23
! Ca3Tb3YSe8, optimized geometry, DFT GGA-PBE; values from VASP
! final energy	-5.54	eV/atom
! space-group type	No. 166
&SYSTEM
  ibrav = 0, nat = 15, ntyp = 4
/
ATOMIC_SPECIES
Se 78.96 Se.upf
Tb 158.93 Tb.upf
Ca 40.08 Ca.upf
Y 88.91 Y.upf
CELL_PARAMETERS angstrom
8.222 0.000 0.000
-4.111 7.122 -0.025
0.000 -4.724 6.864
ATOMIC_POSITIONS crystal
Se 0.749 0.498 0.746
Tb 0.000 0.500 0.500
Se 0.748 0.995 0.742
Ca 0.000 0.500 0.000
Se 0.752 0.005 0.258
Se 0.752 0.505 0.257
Se 0.252 0.005 0.258
Tb 0.500 0.500 0.500
Se 0.248 0.495 0.743
Ca 0.000 0.000 0.000
Y 0.000 0.000 0.500
Se 0.248 0.995 0.742
Tb 0.500 0.000 0.500
Se 0.251 0.502 0.254
Ca 0.500 0.500 0.000

# 24
! Cr3CuRe, optimized geometry, DFT GGA-PBE; values from VASP
! offset from the most stable computed form	0.108	eV per atom
! formation energy from the elements	1.767	eV/atom
! space-group type	No. 221
&SYSTEM
  ibrav = 0, nat = 5, ntyp = 3
/
ATOMIC_SPECIES
Re 186.21 Re.upf
Cr 52.00 Cr.upf
Cu 63.55 Cu.upf
CELL_PARAMETERS angstrom
-3.368 -2.513 1.523
2.616 -1.510 3.294
-1.337 3.374 2.609
ATOMIC_POSITIONS crystal
Re 0.000 0.000 0.000
Cr 0.000 0.500 0.000
Cu 0.500 0.500 0.500
Cr 0.500 0.000 0.000
Cr 0.000 0.000 0.500

# 25
! LaOs2Rh, optimized geometry, DFT GGA-PBE; values from VASP
! offset from the most stable computed form	0.018	eV per atom
! formation energy from the elements	0.196	eV/atom
! space-group type	No. 6
&SYSTEM
  ibrav = 0, nat = 4, ntyp = 3
/
ATOMIC_SPECIES
Os 190.23 Os.upf
La 138.91 La.upf
Rh 102.91 Rh.upf
CELL_PARAMETERS angstrom
-3.065 3.093 0.836
-0.006 -0.765 2.809
4.075 3.474 2.089
ATOMIC_POSITIONS crystal
Os 0.000 0.005 0.092
Os 0.500 0.370 0.202
La 0.500 0.784 0.716
Rh 0.000 0.341 0.490